No. 1
TmLuGeAu PBE-GGA relaxed; formation energy = -0.7369 eV/atom; space group = F-43m; D(E_F) = 0.934 states/eV per atom
1.0
-4.155 -1.494 -2.346
0.098 -0.924 -4.913
-0.377 -4.698 -1.669
Tm Lu Au Ge
1 1 1 1
Direct
0.500 0.500 0.500
0.000 0.000 0.000
0.750 0.750 0.750
0.250 0.250 0.250

---

No. 2
Er4SeS5 PBE-GGA relaxed; space group = C2/m
1.0
-0.696 1.185 -3.708
-7.913 0.075 1.510
3.315 7.165 3.776
Er Se S
4 1 5
Direct
0.316 0.871 0.632
0.996 0.731 0.992
0.684 0.129 0.368
0.004 0.269 0.008
0.500 0.000 0.000
0.838 0.669 0.676
0.839 0.123 0.678
0.161 0.877 0.322
0.500 0.500 0.000
0.162 0.331 0.324

---

No. 3
As5Pt PBE-GGA relaxed; formation energy = 0.1559 eV/atom; energy above the most stable polymorph in this dataset = 144 meV/atom; space group = Cmmm; D(E_F) = 0.345 states/eV per atom
1.0
1.770 -8.564 0.000
1.770 8.564 0.000
0.000 0.000 4.058
As Pt
5 1
Direct
0.802 0.198 0.000
0.198 0.802 0.000
0.500 0.500 0.000
0.384 0.616 0.500
0.616 0.384 0.500
0.000 0.000 0.500

---

No. 4
HoErAg2 PBE-GGA relaxed; formation energy = -0.3304 eV/atom; energy above the most stable polymorph in this dataset = 0 meV/atom; space group = P4/mmm; D(E_F) = 0.549 states/eV per atom
1.0
-3.314 -1.239 0.548
-0.698 -0.378 -5.071
1.814 -4.801 0.109
Ho Ag Er
1 2 1
Direct
0.500 0.500 0.500
0.000 0.000 0.500
0.000 0.500 0.000
0.500 0.000 0.000

---

No. 5
Tb2ScMn PBE-GGA relaxed; formation energy = 0.1403 eV/atom; energy above the most stable polymorph in this dataset = 0 meV/atom; space group = P4/mmm; D(E_F) = 1.355 states/eV per atom
1.0
-3.217 0.706 1.215
0.621 -2.010 2.811
2.947 6.522 4.012
Sc Mn Tb
1 1 2
Direct
0.500 0.500 0.000
0.500 0.500 0.500
0.000 0.000 0.716
0.000 0.000 0.284

---

No. 6
FeAs2Pd2 PBE-GGA relaxed; formation energy = 0.2757 eV/atom; energy above the most stable polymorph in this dataset = 359 meV/atom; space group = I4/mmm; D(E_F) = 1.210 states/eV per atom
1.0
3.652 0.000 0.000
0.000 3.652 0.000
1.826 1.826 6.608
As Fe Pd
2 1 2
Direct
0.750 0.250 0.500
0.250 0.750 0.500
0.000 0.000 0.000
0.400 0.400 0.199
0.600 0.600 0.801

---

| no. | E_tot (eV per atom) |
| --- | --- |
| 1 | -4.959 |
| 2 | -6.210 |
| 3 | -4.725 |
| 4 | -4.041 |
| 5 | -6.050 |
| 6 | -5.354 |